A geometry-optimized Li3Pb5 structure, computed with PBE.

ΔH_f (0 K)	-0.1620	eV/atom
energy	-25.6	eV/cell
crystal system	orthorhombic
energy above the lowest structure with this stoichiometry	3	meV per atom
SG	Cmmm
M_tot	0.000	μB per atom

The structure in POSCAR format:
```
Li3Pb5
1.0
4.615 -4.768 0.000
4.615 4.768 0.000
0.000 0.000 4.700
Li Pb
3 5
direct
0.000 0.000 0.000
0.266 0.734 0.500
0.734 0.266 0.500
0.000 0.500 0.000
0.224 0.224 0.500
0.500 0.000 0.000
0.500 0.500 0.000
0.776 0.776 0.500
```



A geometry-optimized Li7Pb2 structure, computed with PBE.

ΔH_f (0 K)	-0.3154	eV/atom
energy	-23.7	eV/cell
crystal system	trigonal
SG	P-3m1
M_tot	0.000	μB per atom

The structure in POSCAR format:
```
Li7Pb2
1.0
4.747 0.000 0.000
-2.374 4.111 0.000
0.000 0.000 8.542
Li Pb
7 2
direct
0.000 0.000 0.000
0.000 0.000 0.324
0.000 0.000 0.676
0.333 0.667 0.103
0.333 0.667 0.424
0.667 0.333 0.576
0.667 0.333 0.897
0.333 0.667 0.764
0.667 0.333 0.236
```



A geometry-optimized Li3Pb4 structure, computed with PBE.

ΔH_f (0 K)	-0.1445	eV/atom
energy	-21.6	eV/cell
crystal system	tetragonal
energy above the lowest structure with this stoichiometry	58	meV per atom
SG	I4/mmm
M_tot	0.000	μB per atom

The structure in POSCAR format:
```
Li3Pb4
1.0
-2.017 2.017 10.931
2.017 -2.017 10.931
2.017 2.017 -10.931
Li Pb
3 4
direct
0.000 0.000 0.000
0.286 0.286 0.000
0.714 0.714 0.000
0.151 0.151 0.000
0.426 0.426 0.000
0.574 0.574 0.000
0.849 0.849 0.000
```



A geometry-optimized Li8Pb structure, computed with PBE.

ΔH_f (0 K)	-0.1249	eV/atom
energy	-20.1	eV/cell
crystal system	tetragonal
SG	I4/mmm
M_tot	0.000	μB per atom

The structure in POSCAR format:
```
Li8Pb
1.0
-4.340 4.340 2.339
4.340 -4.340 2.339
4.340 4.340 -2.339
Li Pb
8 1
direct
0.000 0.331 0.331
0.000 0.669 0.669
0.331 0.000 0.331
0.341 0.341 0.681
0.341 0.659 0.000
0.659 0.341 0.000
0.659 0.659 0.319
0.669 0.000 0.669
0.000 0.000 0.000
```



A geometry-optimized Li2Pb13 structure, computed with PBE.

ΔH_f (0 K)	0.0876	eV/atom
energy	-50.7	eV/cell
crystal system	trigonal
SG	R-3m
M_tot	0.000	μB per atom

The structure in POSCAR format:
```
Li2Pb13
1.0
4.640 2.679 7.043
-4.640 2.679 7.043
0.000 -5.358 7.043
Li Pb
2 13
direct
0.240 0.240 0.240
0.760 0.760 0.760
0.015 0.015 0.661
0.015 0.661 0.015
0.245 0.245 0.613
0.245 0.613 0.245
0.339 0.985 0.985
0.387 0.755 0.755
0.500 0.500 0.500
0.613 0.245 0.245
0.661 0.015 0.015
0.755 0.387 0.755
0.755 0.755 0.387
0.985 0.339 0.985
0.985 0.985 0.339
```



A geometry-optimized Li2Pd8Pb structure, computed with PBE.

ΔH_f (0 K)	-0.1798	eV/atom
energy	-51.1	eV/cell
crystal system	orthorhombic
energy above the lowest structure with this stoichiometry	72	meV per atom
SG	Immm
M_tot	0.000	μB per atom

The structure in POSCAR format:
```
Li2Pd8Pb
1.0
-2.092 3.406 6.140
2.092 -3.406 6.140
2.092 3.406 -6.140
Li Pd Pb
2 8 1
direct
0.198 0.198 0.000
0.802 0.802 0.000
0.053 0.341 0.713
0.194 0.000 0.194
0.345 0.845 0.500
0.372 0.659 0.713
0.628 0.341 0.287
0.655 0.155 0.500
0.806 0.000 0.806
0.947 0.659 0.287
0.500 0.500 0.000
```



A geometry-optimized Li3Pd5Pb2 structure, computed with PBE.

ΔH_f (0 K)	-0.1668	eV/atom
energy	-81.6	eV/cell
crystal system	orthorhombic
SG	Ibam
M_tot	0.000	μB per atom

The structure in POSCAR format:
```
Li3Pd5Pb2
1.0
-5.233 6.896 2.655
5.233 -6.896 2.655
5.233 6.896 -2.655
Li Pd Pb
6 10 4
direct
0.159 0.588 0.748
0.250 0.250 0.000
0.341 0.088 0.429
0.659 0.912 0.571
0.750 0.750 0.000
0.841 0.412 0.252
0.150 0.339 0.489
0.250 0.015 0.765
0.250 0.485 0.235
0.250 0.750 0.500
0.350 0.839 0.189
0.650 0.161 0.811
0.750 0.250 0.500
0.750 0.515 0.765
0.750 0.985 0.235
0.850 0.661 0.511
0.161 0.872 0.033
0.339 0.372 0.710
0.661 0.628 0.290
0.839 0.128 0.967
```



A geometry-optimized Li2Pd7Pb2 structure, computed with PBE.

ΔH_f (0 K)	-0.2233	eV/atom
energy	-50.1	eV/cell
crystal system	monoclinic
SG	C2/m
M_tot	0.000	μB per atom

The structure in POSCAR format:
```
Li2Pd7Pb2
1.0
4.584 -4.494 0.000
4.584 4.494 0.000
-2.182 0.000 4.597
Li Pd Pb
2 7 2
direct
0.230 0.230 0.466
0.770 0.770 0.534
0.075 0.577 0.821
0.095 0.095 0.829
0.423 0.925 0.179
0.500 0.500 0.000
0.577 0.075 0.821
0.905 0.905 0.171
0.925 0.423 0.179
0.281 0.719 0.500
0.719 0.281 0.500
```



A geometry-optimized LiPd3Pb structure, computed with PBE.

ΔH_f (0 K)	0.0285	eV/atom
energy	-21.1	eV/cell
crystal system	cubic
energy above the lowest structure with this stoichiometry	394	meV per atom
SG	Pm-3m
M_tot	0.000	μB per atom

The structure in POSCAR format:
```
LiPd3Pb
1.0
4.397 0.000 0.000
0.000 4.397 0.000
0.000 0.000 4.397
Li Pd Pb
1 3 1
direct
0.000 0.000 0.000
0.000 0.000 0.500
0.000 0.500 0.000
0.500 0.000 0.000
0.500 0.500 0.500
```



A geometry-optimized LiPd3Pb structure, computed with PBE.

ΔH_f (0 K)	0.4831	eV/atom
energy	-18.8	eV/cell
crystal system	cubic
energy above the lowest structure with this stoichiometry	848	meV per atom
SG	Pm-3m
M_tot	0.000	μB per atom

The structure in POSCAR format:
```
LiPd3Pb
1.0
5.106 0.000 0.000
0.000 5.106 0.000
0.000 0.000 5.106
Li Pd Pb
1 3 1
direct
0.000 0.000 0.000
0.000 0.500 0.500
0.500 0.000 0.500
0.500 0.500 0.000
0.500 0.500 0.500
```



A geometry-optimized LiPd4Pb structure, computed with PBE.

ΔH_f (0 K)	-0.2996	eV/atom
energy	-28.2	eV/cell
crystal system	monoclinic
energy above the lowest structure with this stoichiometry	0	meV per atom
SG	C2/m
M_tot	0.000	μB per atom

The structure in POSCAR format:
```
LiPd4Pb
1.0
2.401 -4.456 0.000
2.401 4.456 0.000
-1.295 0.000 4.602
Li Pd Pb
1 4 1
direct
0.000 0.000 0.000
0.162 0.838 0.500
0.334 0.666 0.000
0.666 0.334 0.000
0.838 0.162 0.500
0.500 0.500 0.500
```



A geometry-optimized Li3Pd5Pb3 structure, computed with PBE.

ΔH_f (0 K)	0.0084	eV/atom
energy	-42.7	eV/cell
crystal system	hexagonal
SG	P-62m
M_tot	0.000	μB per atom

The structure in POSCAR format:
```
Li3Pd5Pb3
1.0
8.658 0.000 0.000
-4.329 7.498 0.000
0.000 0.000 3.327
Li Pd Pb
3 5 3
direct
0.000 0.175 0.000
0.175 0.000 0.000
0.825 0.825 0.000
0.000 0.676 0.000
0.324 0.324 0.000
0.333 0.667 0.000
0.667 0.333 0.000
0.676 0.000 0.000
0.000 0.424 0.500
0.424 0.000 0.500
0.576 0.576 0.500
```



> Which value of M_tot does entry 3 give?

0.000 μB per atom



> Number 4 is which compound?

Li8Pb



Copy entry 2 word for word.
A geometry-optimized Li7Pb2 structure, computed with PBE.

ΔH_f (0 K)	-0.3154	eV/atom
energy	-23.7	eV/cell
crystal system	trigonal
SG	P-3m1
M_tot	0.000	μB per atom

The structure in POSCAR format:
```
Li7Pb2
1.0
4.747 0.000 0.000
-2.374 4.111 0.000
0.000 0.000 8.542
Li Pb
7 2
direct
0.000 0.000 0.000
0.000 0.000 0.324
0.000 0.000 0.676
0.333 0.667 0.103
0.333 0.667 0.424
0.667 0.333 0.576
0.667 0.333 0.897
0.333 0.667 0.764
0.667 0.333 0.236
```